A.
# PBE AcLuTl, optimized geometry
data_AcLuTl
_chemical_formula_sum 'Ac4 Lu4 Tl4'
_space_group_name_H-M_alt 'F -4 3 m'
_space_group_IT_number 216
_space_group_name_Hall 'F -4 2 3'
_cell_length_a 7.660
_cell_length_b 7.660
_cell_length_c 7.660
_cell_angle_alpha 90.00
_cell_angle_beta 90.00
_cell_angle_gamma 90.00
loop_
_atom_site_label
_atom_site_type_symbol
_atom_site_fract_x
_atom_site_fract_y
_atom_site_fract_z
_atom_site_occupancy
Ac1 Ac 0.000 0.000 0.000 1
Lu1 Lu 0.000 0.000 0.500 1
Tl1 Tl 0.250 0.250 0.750 1
# Fermi-level density of states: 4.604 states/eV/f.u.
# Magnetization: 0.000 μB per atom
# Crystal system: cubic

B.
# PBE AcLuTl, optimized geometry
data_AcLuTl
_chemical_formula_sum 'Ac2 Lu2 Tl2'
_space_group_name_H-M_alt 'I 4 m m'
_space_group_IT_number 107
_space_group_name_Hall 'I 4 -2'
_cell_length_a 3.791
_cell_length_b 3.791
_cell_length_c 13.782
_cell_angle_alpha 90.00
_cell_angle_beta 90.00
_cell_angle_gamma 90.00
loop_
_atom_site_label
_atom_site_type_symbol
_atom_site_fract_x
_atom_site_fract_y
_atom_site_fract_z
_atom_site_occupancy
Ac1 Ac 0.000 0.000 0.000 1
Lu1 Lu 0.000 0.000 0.307 1
Tl1 Tl 0.000 0.000 0.677 1
# Fermi-level density of states: 2.302 states/eV/f.u.
# Magnetization: 0.000 μB per atom
# Crystal system: tetragonal

C.
# PBE AcLuTl, optimized geometry
data_AcLuTl
_chemical_formula_sum 'Ac1 Lu1 Tl1'
_space_group_name_H-M_alt 'P -6 m 2'
_space_group_IT_number 187
_space_group_name_Hall 'P -6 2'
_cell_length_a 5.3724
_cell_length_b 5.3724
_cell_length_c 4.0489
_cell_angle_alpha 90.00
_cell_angle_beta 90.00
_cell_angle_gamma 120.00
loop_
_atom_site_label
_atom_site_type_symbol
_atom_site_fract_x
_atom_site_fract_y
_atom_site_fract_z
_atom_site_occupancy
Ac1 Ac 0.0000 0.0000 0.0000 1
Lu1 Lu 0.3333 0.6667 0.5000 1
Tl1 Tl 0.6667 0.3333 0.5000 1
# Fermi-level density of states: 2.596 states/eV/f.u.
# Magnetization: 0.000 μB per atom
# Crystal system: hexagonal

Q: Which of them is the least stable? A: A.